DFT (PBE) results for crystalline TlCdPd3 at its relaxed geometry.

- density (Mg/m³) = 11.15
- E_form (eV/atom) = -0.12

a b c (Å): 7.452 7.441 6.837
angles (deg): 90.00 90.00 90.00
Atoms (fractional coordinates):
Tl (0.162, 0.250, 0.103)
Tl (0.338, 0.750, 0.603)
Tl (0.662, 0.250, 0.397)
Tl (0.838, 0.750, 0.897)
Cd (0.000, 0.000, 0.500)
Cd (0.000, 0.500, 0.500)
Cd (0.500, 0.000, 0.000)
Cd (0.500, 0.500, 0.000)
Pd (0.135, 0.750, 0.217)
Pd (0.146, 0.544, 0.864)
Pd (0.146, 0.956, 0.864)
Pd (0.354, 0.044, 0.364)
Pd (0.354, 0.456, 0.364)
Pd (0.365, 0.250, 0.717)
Pd (0.635, 0.750, 0.283)
Pd (0.646, 0.544, 0.636)
Pd (0.646, 0.956, 0.636)
Pd (0.854, 0.044, 0.136)
Pd (0.854, 0.456, 0.136)
Pd (0.865, 0.250, 0.783)